Entry 1:
Material: Sc2InC
Method: DFT, GGA-PBE
State: optimized geometry

Properties
Energy above the most stable polymorph in this dataset = 1325.9 meV per atom
SG = R-3m

Cell: 9.2041 9.2041 9.2041 Å, 21.36 21.36 21.36°
Fractional positions:
Sc (0.0778, 0.0778, 0.0778)
Sc (0.9222, 0.9222, 0.9222)
In (0.5000, 0.5000, 0.5000)
C (0.0000, 0.0000, 0.0000)

Entry 2:
Material: ScIn3C
Method: DFT, GGA-PBE
State: optimized geometry

Properties
Energy above the most stable polymorph in this dataset = 1033.1 meV per atom
SG = Pm-3m

Cell: 5.6708 5.6708 5.6708 Å, 90.00 90.00 90.00°
Fractional positions:
Sc (0.0000, 0.0000, 0.0000)
In (0.0000, 0.0000, 0.5000)
In (0.0000, 0.5000, 0.0000)
In (0.5000, 0.0000, 0.0000)
C (0.5000, 0.5000, 0.5000)

Entry 3:
Material: ScIn3C
Method: DFT, GGA-PBE
State: optimized geometry

Properties
Energy above the most stable polymorph in this dataset = 0.0 meV per atom
SG = Pm-3m

Cell: 4.7722 4.7722 4.7722 Å, 90.00 90.00 90.00°
Fractional positions:
Sc (0.0000, 0.0000, 0.0000)
In (0.0000, 0.5000, 0.5000)
In (0.5000, 0.0000, 0.5000)
In (0.5000, 0.5000, 0.0000)
C (0.5000, 0.5000, 0.5000)

Entry 4:
Material: ScInC3
Method: DFT, GGA-PBE
State: optimized geometry

Properties
Energy above the most stable polymorph in this dataset = 0.0 meV per atom
SG = Pm-3m

Cell: 4.2970 4.2970 4.2970 Å, 90.00 90.00 90.00°
Fractional positions:
Sc (0.0000, 0.0000, 0.0000)
In (0.5000, 0.5000, 0.5000)
C (0.0000, 0.0000, 0.5000)
C (0.0000, 0.5000, 0.0000)
C (0.5000, 0.0000, 0.0000)

Entry 5:
Material: Sm2ScInC
Method: DFT, GGA-PBE
State: optimized geometry

Properties
VASP energy = -30.00 eV for the cell shown
SG = P4/mmm

Cell: 5.0891 5.0891 4.5714 Å, 90.00 90.00 90.00°
Fractional positions:
Sm (0.0000, 0.5000, 0.0000)
Sm (0.5000, 0.0000, 0.0000)
Sc (0.0000, 0.0000, 0.5000)
In (0.5000, 0.5000, 0.5000)
C (0.0000, 0.0000, 0.0000)

Entry 6:
Material: SmSc2InC
Method: DFT, GGA-PBE
State: optimized geometry

Properties
VASP energy = -31.98 eV for the cell shown
SG = P4/mmm

Cell: 4.6203 4.6203 5.0066 Å, 90.00 90.00 90.00°
Fractional positions:
Sm (0.0000, 0.0000, 0.0000)
Sc (0.0000, 0.5000, 0.5000)
Sc (0.5000, 0.0000, 0.5000)
In (0.5000, 0.5000, 0.0000)
C (0.0000, 0.0000, 0.5000)

Entry 7:
Material: Sc2TaInC
Method: DFT, GGA-PBE
State: optimized geometry

Properties
VASP energy = -38.76 eV for the cell shown
SG = P4/mmm

Cell: 4.5361 4.5361 4.3340 Å, 90.00 90.00 90.00°
Fractional positions:
Sc (0.0000, 0.5000, 0.0000)
Sc (0.5000, 0.0000, 0.0000)
Ta (0.0000, 0.0000, 0.5000)
In (0.5000, 0.5000, 0.5000)
C (0.0000, 0.0000, 0.0000)

Entry 8:
Material: Sc2InTcC
Method: DFT, GGA-PBE
State: optimized geometry

Properties
Energy above the most stable polymorph in this dataset = 0.0 meV per atom
SG = P4/mmm

Cell: 4.5929 4.5929 4.0276 Å, 90.00 90.00 90.00°
Fractional positions:
Sc (0.0000, 0.5000, 0.0000)
Sc (0.5000, 0.0000, 0.0000)
In (0.0000, 0.0000, 0.5000)
Tc (0.5000, 0.5000, 0.5000)
C (0.5000, 0.5000, 0.0000)